Model i:
Below is a PBEsol-optimized structure of Li5Zn3, with properties calculated at the meta-GGA SCAN level.

```
Li5Zn3
1.0
4.8770 0.0000 0.0000
0.0000 7.7448 0.0000
0.0000 -3.8724 6.7072
Li Zn
10 6
Direct
0.0000 0.6667 0.3333 Li
0.5000 0.3333 0.6667 Li
0.0000 0.3333 0.6667 Li
0.5000 0.6667 0.3333 Li
0.7500 0.7598 0.7598 Li
0.2500 0.2402 0.2402 Li
0.7500 0.0000 0.2402 Li
0.7500 0.2402 0.0000 Li
0.2500 0.7598 0.0000 Li
0.2500 0.0000 0.7598 Li
0.7500 0.4137 0.4137 Zn
0.2500 0.5863 0.5863 Zn
0.7500 0.0000 0.5863 Zn
0.7500 0.5863 0.0000 Zn
0.2500 0.4137 0.0000 Zn
0.2500 0.0000 0.4137 Zn
```

---

Model ii:
Below is a PBEsol-optimized structure of Li5Zn3, with properties calculated at the meta-GGA SCAN level.

```
Li5Zn3
1.0
4.8355 0.0000 0.0000
2.4178 7.1608 0.0000
2.4178 0.0000 7.1608
Li Zn
10 6
Direct
0.7500 0.5000 0.5000 Li
0.2500 0.5000 0.5000 Li
0.4251 0.8480 0.3018 Li
0.5749 0.1520 0.6982 Li
0.9251 0.3018 0.8480 Li
0.0749 0.6982 0.1520 Li
0.2269 0.8480 0.6982 Li
0.7731 0.1520 0.3018 Li
0.2731 0.3018 0.1520 Li
0.7269 0.6982 0.8480 Li
0.7500 0.0000 0.0000 Zn
0.2500 0.0000 0.0000 Zn
0.3249 0.5000 0.8502 Zn
0.6751 0.5000 0.1498 Zn
0.8249 0.8502 0.5000 Zn
0.1751 0.1498 0.5000 Zn
```

---

Model iii:
Below is a PBEsol-optimized structure of Li5Zn3, with properties calculated at the meta-GGA SCAN level.

```
Li5Zn3
1.0
-3.3477 -1.6154 0.6667
1.7685 -4.7096 -2.5308
1.9757 -2.0977 4.8382
Zn Li
3 5
Direct
0.0000 0.5000 0.5000 Zn
0.5000 0.7352 0.2648 Zn
0.5000 0.2648 0.7352 Zn
0.0000 0.0000 0.0000 Li
0.0000 0.0000 0.5000 Li
0.0000 0.5000 0.0000 Li
0.5000 0.2509 0.2509 Li
0.5000 0.7491 0.7491 Li
```

---

Which of them is the least stable? Correct choice: model i.

---

Model i:
Below is a PBEsol-optimized structure of LiZr3, with properties calculated at the meta-GGA SCAN level.

```
LiZr3
1.0
3.1539 0.0000 0.0000
0.0000 3.1539 0.0000
0.0000 0.0000 8.4413
Li Zr
1 3
Direct
0.0000 0.0000 0.0000 Li
0.5000 0.5000 0.2450 Zr
0.0000 0.0000 0.5000 Zr
0.5000 0.5000 0.7550 Zr
```

---

Model ii:
Below is a PBEsol-optimized structure of LiZr3, with properties calculated at the meta-GGA SCAN level.

```
LiZr3
1.0
-2.4606 -1.2806 -1.3920
0.4022 -1.9156 -2.4085
-0.1586 -9.2527 5.3328
Li Zr
1 3
Direct
0.0000 0.0000 0.0000 Li
0.7524 0.7524 0.7429 Zr
0.5000 0.5000 0.5000 Zr
0.2476 0.2476 0.2571 Zr
```

---

Which of them is the least stable? Correct choice: model ii.

---

Model i:
Below is a PBEsol-optimized structure of Lu2MgS4, with properties calculated at the meta-GGA SCAN level.

```
Lu2MgS4
1.0
3.7253 0.0000 0.0000
0.0000 12.2742 0.0000
0.0000 0.0000 12.8204
Lu Mg S
8 4 16
Direct
0.7500 0.8858 0.0777 Lu
0.2500 0.1142 0.9223 Lu
0.2500 0.6142 0.5777 Lu
0.7500 0.3858 0.4223 Lu
0.7500 0.8574 0.7040 Lu
0.2500 0.1426 0.2960 Lu
0.2500 0.6426 0.2040 Lu
0.7500 0.3574 0.7960 Lu
0.2500 0.8817 0.4393 Mg
0.7500 0.1183 0.5607 Mg
0.7500 0.6183 0.9393 Mg
0.2500 0.3817 0.0607 Mg
0.2500 0.9839 0.6161 S
0.7500 0.0161 0.3839 S
0.7500 0.5161 0.1161 S
0.2500 0.4839 0.8839 S
0.7500 0.9697 0.8822 S
0.2500 0.0303 0.1178 S
0.2500 0.5303 0.3822 S
0.7500 0.4697 0.6178 S
0.7500 0.7791 0.2556 S
0.2500 0.2209 0.7444 S
0.2500 0.7209 0.7556 S
0.7500 0.2791 0.2444 S
0.2500 0.7445 0.0171 S
0.7500 0.2555 0.9829 S
0.7500 0.7555 0.5171 S
0.2500 0.2445 0.4829 S
```

---

Model ii:
Below is a PBEsol-optimized structure of Lu2MgS4, with properties calculated at the meta-GGA SCAN level.

```
Lu2MgS4
1.0
7.6808 0.0000 0.0000
3.8404 6.6518 0.0000
3.8404 2.2173 6.2714
Lu Mg S
4 2 8
Direct
0.6250 0.6250 0.1250 Lu
0.1250 0.6250 0.6250 Lu
0.6250 0.6250 0.6250 Lu
0.6250 0.1250 0.6250 Lu
0.2500 0.2500 0.2500 Mg
0.0000 0.0000 0.0000 Mg
0.8689 0.3933 0.8689 S
0.3811 0.3811 0.8567 S
0.3811 0.8567 0.3811 S
0.3933 0.8689 0.8689 S
0.8689 0.8689 0.3933 S
0.3811 0.3811 0.3811 S
0.8567 0.3811 0.3811 S
0.8689 0.8689 0.8689 S
```

---

Which of them is the least stable? Correct choice: model i.

---

Model i:
Below is a PBEsol-optimized structure of Rb3LuO3, with properties calculated at the meta-GGA SCAN level.

```
Rb3LuO3
1.0
7.2094 0.0000 0.0000
0.0000 7.6549 0.0273
0.0000 -0.8299 11.4740
Rb Lu O
12 4 12
Direct
0.1629 0.3576 0.4217 Rb
0.8772 0.9319 0.3426 Rb
0.6944 0.3764 0.3106 Rb
0.1944 0.6236 0.1894 Rb
0.3772 0.0681 0.1574 Rb
0.6629 0.6424 0.0783 Rb
0.3371 0.3576 0.9217 Rb
0.6228 0.9319 0.8426 Rb
0.8056 0.3764 0.8106 Rb
0.3056 0.6236 0.6894 Rb
0.1228 0.0681 0.6574 Rb
0.8371 0.6424 0.5783 Rb
0.4110 0.8413 0.4310 Lu
0.9110 0.1587 0.0690 Lu
0.0890 0.8413 0.9310 Lu
0.5890 0.1587 0.5690 Lu
0.1478 0.7462 0.4530 O
0.4492 0.1125 0.4082 O
0.5546 0.6988 0.3051 O
0.0546 0.3012 0.1949 O
0.9492 0.8875 0.0918 O
0.6478 0.2538 0.0470 O
0.3522 0.7462 0.9530 O
0.0508 0.1125 0.9082 O
0.9454 0.6988 0.8051 O
0.4454 0.3012 0.6949 O
0.5508 0.8875 0.5918 O
0.8522 0.2538 0.5470 O
```

---

Model ii:
Below is a PBEsol-optimized structure of Rb3LuO3, with properties calculated at the meta-GGA SCAN level.

```
Rb3LuO3
1.0
7.0873 0.0076 0.0122
-0.6516 7.0919 -0.0316
-0.6516 -3.1932 6.3324
Rb Lu O
6 2 6
Direct
0.5000 0.2044 0.7956 Rb
0.0000 0.2594 0.7406 Rb
0.3590 0.6388 0.6388 Rb
0.6410 0.3612 0.3612 Rb
0.0000 0.7406 0.2594 Rb
0.5000 0.7956 0.2044 Rb
0.8516 0.8237 0.8237 Lu
0.1484 0.1763 0.1763 Lu
0.7320 0.5567 0.8345 O
0.1537 0.8985 0.8985 O
0.2680 0.1655 0.4433 O
0.7320 0.8345 0.5567 O
0.8463 0.1015 0.1015 O
0.2680 0.4433 0.1655 O
```

---

Which of them is the least stable? Correct choice: model ii.

---

Model i:
Below is a PBEsol-optimized structure of RbLuW2O8, with properties calculated at the meta-GGA SCAN level.

```
RbLuW2O8
1.0
-6.3864 3.7107 0.7008
-4.5673 0.1752 -5.8379
-0.2423 -7.4048 0.2875
Rb Lu W O
2 2 4 16
Direct
0.7500 0.7998 0.7998 Rb
0.2500 0.2002 0.2002 Rb
0.7500 0.2266 0.2266 Lu
0.2500 0.7734 0.7734 Lu
0.7730 0.6944 0.3004 W
0.2270 0.3056 0.6996 W
0.7270 0.3004 0.6944 W
0.2730 0.6996 0.3056 W
0.5569 0.7599 0.3804 O
0.4431 0.2401 0.6196 O
0.9431 0.3804 0.7599 O
0.0569 0.6196 0.2401 O
0.8827 0.0557 0.6308 O
0.1173 0.9443 0.3692 O
0.6173 0.6308 0.0557 O
0.3827 0.3692 0.9443 O
0.9628 0.3704 0.4076 O
0.0372 0.6296 0.5924 O
0.5372 0.4076 0.3704 O
0.4628 0.5924 0.6296 O
0.6967 0.9595 0.2197 O
0.3033 0.0405 0.7803 O
0.8033 0.2197 0.9595 O
0.1967 0.7803 0.0405 O
```

---

Model ii:
Below is a PBEsol-optimized structure of RbLuW2O8, with properties calculated at the meta-GGA SCAN level.

```
RbLuW2O8
1.0
5.9269 0.0000 0.0000
-2.9634 5.1328 0.0000
0.0000 0.0000 7.6094
Rb Lu W O
1 1 2 8
Direct
0.0000 0.0000 0.0000 Rb
0.0000 0.0000 0.5000 Lu
0.6667 0.3333 0.7486 W
0.3333 0.6667 0.2514 W
0.8328 0.6657 0.6732 O
0.1672 0.3343 0.3268 O
0.8328 0.1672 0.6732 O
0.1672 0.8328 0.3268 O
0.3343 0.1672 0.6732 O
0.6657 0.8328 0.3268 O
0.6667 0.3333 0.9788 O
0.3333 0.6667 0.0212 O
```

---

Which of them is the least stable? Correct choice: model ii.

---

Model i:
Below is a PBEsol-optimized structure of SrLu2O4, with properties calculated at the meta-GGA SCAN level.

```
SrLu2O4
1.0
-0.8197 3.1844 -0.2756
-6.1379 -2.2185 -7.3797
-8.6013 -1.5545 7.6213
Sr Lu O
4 8 16
Direct
0.2500 0.2534 0.8492 Sr
0.7500 0.2466 0.3492 Sr
0.2500 0.7534 0.6508 Sr
0.7500 0.7466 0.1508 Sr
0.2500 0.4257 0.6117 Lu
0.2500 0.4219 0.1088 Lu
0.7500 0.0781 0.6088 Lu
0.7500 0.0743 0.1117 Lu
0.2500 0.9257 0.8883 Lu
0.2500 0.9219 0.3912 Lu
0.7500 0.5781 0.8912 Lu
0.7500 0.5743 0.3883 Lu
0.7500 0.4822 0.2168 O
0.2500 0.4258 0.4237 O
0.7500 0.3781 0.9801 O
0.7500 0.2901 0.6688 O
0.2500 0.2099 0.1688 O
0.2500 0.1219 0.4801 O
0.7500 0.0742 0.9237 O
0.2500 0.0178 0.7168 O
0.7500 0.9822 0.2832 O
0.2500 0.9258 0.0763 O
0.7500 0.8781 0.5199 O
0.7500 0.7901 0.8312 O
0.2500 0.7099 0.3312 O
0.2500 0.6219 0.0199 O
0.7500 0.5742 0.5763 O
0.2500 0.5178 0.7832 O
```

---

Model ii:
Below is a PBEsol-optimized structure of SrLu2O4, with properties calculated at the meta-GGA SCAN level.

```
SrLu2O4
1.0
-1.6362 0.0973 2.8238
5.1490 -1.9822 1.1642
3.5145 10.1206 1.6876
Sr Lu O
2 4 8
Direct
0.6127 0.2253 0.2500 Sr
0.3873 0.7747 0.7500 Sr
0.1334 0.2668 0.5717 Lu
0.1334 0.2668 0.9283 Lu
0.8666 0.7332 0.4283 Lu
0.8666 0.7332 0.0717 Lu
0.5000 0.0000 0.5000 O
0.5000 0.0000 0.0000 O
0.0523 0.1047 0.7500 O
0.2368 0.4736 0.3930 O
0.2368 0.4736 0.1070 O
0.7632 0.5264 0.8930 O
0.7632 0.5264 0.6070 O
0.9477 0.8953 0.2500 O
```

---

Model iii:
Below is a PBEsol-optimized structure of SrLu2O4, with properties calculated at the meta-GGA SCAN level.

```
SrLu2O4
1.0
-2.5829 0.4649 -6.1897
-6.6599 -0.2326 -0.8895
-3.3408 5.5361 -1.8413
Sr Lu O
2 4 8
Direct
0.0000 0.0000 0.0000 Sr
0.2500 0.2500 0.2500 Sr
0.6250 0.1250 0.6250 Lu
0.6250 0.6250 0.1250 Lu
0.1250 0.6250 0.6250 Lu
0.6250 0.6250 0.6250 Lu
0.3933 0.3933 0.3933 O
0.8567 0.8567 0.4299 O
0.4299 0.8567 0.8567 O
0.3933 0.8201 0.3933 O
0.8567 0.4299 0.8567 O
0.8201 0.3933 0.3933 O
0.3933 0.3933 0.8201 O
0.8567 0.8567 0.8567 O
```

---

Which of them is the least stable? Correct choice: model iii.

---

Model i:
Below is a PBEsol-optimized structure of LuTa3O9, with properties calculated at the meta-GGA SCAN level.

```
LuTa3O9
1.0
-3.0786 -4.4442 -3.2850
6.2441 -4.1788 -0.1984
-3.3390 -5.4905 10.5573
Lu Ta O
4 12 36
Direct
0.0604 0.2500 0.4644 Lu
0.4396 0.7500 0.9644 Lu
0.5604 0.2500 0.0356 Lu
0.9396 0.7500 0.5356 Lu
0.0000 0.0000 0.0000 Ta
0.0000 0.5000 0.0000 Ta
0.1910 0.0030 0.7103 Ta
0.1910 0.4970 0.7103 Ta
0.3090 0.5030 0.2103 Ta
0.3090 0.9970 0.2103 Ta
0.5000 0.0000 0.5000 Ta
0.5000 0.5000 0.5000 Ta
0.6910 0.0030 0.7897 Ta
0.6910 0.4970 0.7897 Ta
0.8090 0.5030 0.2897 Ta
0.8090 0.9970 0.2897 Ta
0.0050 0.0540 0.8418 O
0.0050 0.4460 0.8418 O
0.0790 0.7500 0.9689 O
0.1176 0.0465 0.3317 O
0.1176 0.4535 0.3317 O
0.1400 0.2500 0.6589 O
0.1968 0.7500 0.6874 O
0.1988 0.5345 0.5331 O
0.1988 0.9655 0.5331 O
0.3012 0.4655 0.0331 O
0.3012 0.0345 0.0331 O
0.3032 0.2500 0.1874 O
0.3600 0.7500 0.1589 O
0.3824 0.5465 0.8317 O
0.3824 0.9535 0.8317 O
0.4210 0.2500 0.4689 O
0.4950 0.5540 0.3418 O
0.4950 0.9460 0.3418 O
0.5050 0.0540 0.6582 O
0.5050 0.4460 0.6582 O
0.5790 0.7500 0.5311 O
0.6176 0.0465 0.1683 O
0.6176 0.4535 0.1683 O
0.6400 0.2500 0.8411 O
0.6968 0.7500 0.8126 O
0.6988 0.5345 0.9669 O
0.6988 0.9655 0.9669 O
0.8012 0.0345 0.4669 O
0.8012 0.4655 0.4669 O
0.8032 0.2500 0.3126 O
0.8600 0.7500 0.3411 O
0.8824 0.5465 0.6683 O
0.8824 0.9535 0.6683 O
0.9210 0.2500 0.0311 O
0.9950 0.5540 0.1582 O
0.9950 0.9460 0.1582 O
```

---

Model ii:
Below is a PBEsol-optimized structure of LuTa3O9, with properties calculated at the meta-GGA SCAN level.

```
LuTa3O9
1.0
-2.0101 -0.5122 4.7161
3.4781 -6.4627 0.7806
6.6218 3.9084 2.8530
Lu Ta O
2 6 18
Direct
0.0325 0.2500 0.4334 Lu
0.9675 0.7500 0.5666 Lu
0.0000 0.0000 0.0000 Ta
0.0000 0.5000 0.0000 Ta
0.4696 0.0080 0.6954 Ta
0.4696 0.4920 0.6954 Ta
0.5304 0.9920 0.3046 Ta
0.5304 0.5080 0.3046 Ta
0.1085 0.2500 0.9750 O
0.1401 0.9299 0.7812 O
0.1401 0.5701 0.7812 O
0.2532 0.9524 0.4668 O
0.2532 0.5476 0.4668 O
0.3207 0.2500 0.6485 O
0.3322 0.9397 0.1177 O
0.3322 0.5603 0.1177 O
0.4134 0.2500 0.3139 O
0.5866 0.7500 0.6861 O
0.6678 0.0603 0.8823 O
0.6678 0.4397 0.8823 O
0.6793 0.7500 0.3515 O
0.7468 0.0476 0.5332 O
0.7468 0.4524 0.5332 O
0.8599 0.0701 0.2188 O
0.8599 0.4299 0.2188 O
0.8915 0.7500 0.0250 O
```

---

Which of them is the least stable? Correct choice: model i.